Density functional theory data (PBE) for a relaxed structure of CeLu2Cd.

Cell and atoms, written as POSCAR:
```
CeLu2Cd
1.0
0.0000 3.7488 3.7488
3.7488 0.0000 3.7488
3.7488 3.7488 0.0000
Ce Lu Cd
1 2 1
Cartesian
0.0000 0.0000 0.0000
1.8744 1.8744 1.8744
5.6232 5.6232 5.6232
3.7488 3.7488 3.7488
```

crystal system = cubic
D(E_F) = 1.895 states/eV/atom
ΔE to the lowest computed polymorph = 134 meV/atom

Density functional theory data (PBE) for a relaxed structure of CeLuCd2.

Cell and atoms, written as POSCAR:
```
CeLuCd2
1.0
3.3896 0.0000 0.0000
0.0000 3.3896 0.0000
0.0000 0.0000 8.8919
Ce Lu Cd
1 1 2
Cartesian
0.0000 0.0000 0.0000
0.0000 0.0000 4.4460
1.6948 1.6948 2.3517
1.6948 1.6948 6.5402
```

crystal system = tetragonal
D(E_F) = 1.709 states/eV/atom
ΔE to the lowest computed polymorph = 0 meV/atom